[1]
Entry from Alexandria: a geometry-optimized LaY2In structure (PBE-GGA).

Values from the calculation:
electronic total energy	-21.405	eV per cell
D(E_F)	1.68	states/eV per atom
size of the total moment	0.00	μB per formula unit
calculated formation energy	-203	meV per atom

a = 6.095 Å, b = 6.095 Å, c = 6.095 Å
α = 132.42°, β = 132.42°, γ = 69.57°
Fractional coordinates of all 4 atoms:
Y1 0.000 0.000 0.000
Y2 0.500 0.500 0.000
In1 0.250 0.750 0.500
La1 0.750 0.250 0.500



[2]
Entry from Alexandria: a geometry-optimized LaY2In3 structure (PBE-GGA).

Values from the calculation:
electronic total energy	-29.141	eV per cell
D(E_F)	0.56	states/eV per atom
size of the total moment	0.00	μB per formula unit
calculated formation energy	-512	meV per atom

a = 3.790 Å, b = 3.790 Å, c = 11.707 Å
α = 90.00°, β = 90.00°, γ = 90.00°
Fractional coordinates of all 6 atoms:
La1 0.500 0.500 0.500
Y1 0.500 0.500 0.841
Y2 0.500 0.500 0.159
In1 0.000 0.000 0.000
In2 0.000 0.000 0.682
In3 0.000 0.000 0.318



[3]
Entry from Alexandria: a geometry-optimized LaY2In structure (PBE-GGA).

Values from the calculation:
electronic total energy	-21.223	eV per cell
D(E_F)	1.33	states/eV per atom
size of the total moment	0.00	μB per formula unit
calculated formation energy	-157	meV per atom

a = 11.272 Å, b = 11.272 Å, c = 11.272 Å
α = 18.40°, β = 18.40°, γ = 18.40°
Fractional coordinates of all 4 atoms:
In1 0.250 0.250 0.250
La1 0.750 0.750 0.750
Y1 0.995 0.995 0.995
Y2 0.505 0.505 0.505



[4]
Entry from Alexandria: a geometry-optimized LaY2In structure (PBE-GGA).

Values from the calculation:
electronic total energy	-21.598	eV per cell
D(E_F)	1.22	states/eV per atom
size of the total moment	0.00	μB per formula unit
calculated formation energy	-251	meV per atom

a = 6.145 Å, b = 6.145 Å, c = 6.145 Å
α = 133.54°, β = 133.54°, γ = 67.80°
Fractional coordinates of all 4 atoms:
Y1 0.000 0.000 0.000
Y2 0.250 0.750 0.500
In1 0.500 0.500 0.000
La1 0.750 0.250 0.500



[5]
Entry from Alexandria: a geometry-optimized La8Y6In structure (PBE-GGA).

Values from the calculation:
electronic total energy	-80.060	eV per cell
D(E_F)	1.51	states/eV per atom
size of the total moment	0.00	μB per formula unit
calculated formation energy	59	meV per atom

a = 6.798 Å, b = 9.337 Å, c = 9.337 Å
α = 120.00°, β = 90.00°, γ = 90.00°
Fractional coordinates of all 15 atoms:
La1 0.830 0.049 0.280
La2 0.830 0.720 0.769
La3 0.830 0.231 0.951
La4 0.170 0.951 0.720
La5 0.170 0.280 0.231
La6 0.170 0.769 0.049
La7 0.871 0.333 0.667
La8 0.129 0.667 0.333
Y1 0.650 0.661 0.101
Y2 0.650 0.899 0.560
Y3 0.650 0.440 0.339
Y4 0.350 0.339 0.899
Y5 0.350 0.101 0.440
Y6 0.350 0.560 0.661
In1 0.500 0.000 0.000



[6]
Entry from Alexandria: a geometry-optimized La3YIn3 structure (PBE-GGA).

Values from the calculation:
electronic total energy	-63.144	eV per cell
D(E_F)	1.14	states/eV per atom
size of the total moment	0.00	μB per formula unit
offset from the most stable computed form	0.42	eV/f.u.
calculated formation energy	-302	meV per atom

a = 6.912 Å, b = 6.912 Å, c = 9.928 Å
α = 91.43°, β = 91.43°, γ = 104.41°
Fractional coordinates of all 14 atoms:
La1 0.597 0.597 0.320
La2 0.179 0.821 0.500
La3 0.821 0.179 0.500
La4 0.241 0.759 0.000
La5 0.759 0.241 0.000
La6 0.403 0.403 0.680
Y1 0.725 0.725 0.958
Y2 0.275 0.275 0.042
In1 0.977 0.977 0.228
In2 0.944 0.526 0.739
In3 0.526 0.944 0.739
In4 0.056 0.474 0.261
In5 0.474 0.056 0.261
In6 0.023 0.023 0.772